DFT (PBE) results for a relaxed LaPmGaAu crystal.

POSCAR file:
```
LaPmGaAu
1.0
5.302 0.000 0.000
2.651 4.592 0.000
2.651 1.531 4.329
Pm La Au Ga
1 1 1 1
direct
0.000 0.000 0.000
0.500 0.500 0.500
0.750 0.750 0.750
0.250 0.250 0.250
```

Magnetization ... 0.035 μB per atom
E ... -4.63 eV per atom
Symmetry ... F-43m (216)